## IrOs3Cl (PBE)

Data for crystalline IrOs3Cl at its relaxed geometry.

The structure in POSCAR format:
```
IrOs3Cl
1.0
4.3042 0.0000 0.0000
0.0000 4.3042 0.0000
0.0000 0.0000 4.3042
Os Cl Ir
3 1 1
Direct
0.5000 0.0000 0.0000
0.0000 0.0000 0.5000
0.0000 0.5000 0.0000
0.0000 0.0000 0.0000
0.5000 0.5000 0.5000
```

Output
- Formation energy (no corrections): 2017 meV per atom
- Energy relative to the lowest polymorph listed for this composition: 0.00 eV per formula unit
- Crystal system: cubic

=====

## Li2GaAg (PBE)

Data for crystalline Li2GaAg at its relaxed geometry.

The structure in POSCAR format:
```
Li2GaAg
1.0
-1.2069 -3.3450 -1.6990
5.6721 -0.7285 -2.5948
5.2944 -1.9194 0.0181
Li Ga Ag
2 1 1
Direct
0.6125 0.6341 0.0740
0.6125 0.6365 0.5671
0.1125 0.1354 0.8205
0.1125 0.1353 0.3206
```

Output
- E_form: -0.235 eV per atom
- Crystal system: monoclinic

=====

| no. | density of states at the Fermi level (states/eV/cell) |
| --- | --- |
| 1 | 7.0 |
| 2 | 1.2 |